(1)
Density functional theory data (GGA-PBEsol) for CdNiW after structural relaxation.

Structure (CIF):
```
data_CdNiW
_chemical_formula_sum 'Cd4 Ni4 W4'
_symmetry_space_group_name_H-M 'F -4 3 m'
_symmetry_Int_Tables_number 216
_symmetry_space_group_name_Hall 'F -4 2 3'
_cell_length_a 5.928
_cell_length_b 5.928
_cell_length_c 5.928
_cell_angle_alpha 90.00
_cell_angle_beta 90.00
_cell_angle_gamma 90.00
loop_
_atom_site_label
_atom_site_fract_x
_atom_site_fract_y
_atom_site_fract_z
_atom_site_occupancy
Cd1 0.000 0.000 0.000 1
Ni1 0.250 0.250 0.750 1
W1 0.250 0.250 0.250 1
```

E_tot   -0.2028 hartree per atom
Calculated formation energy   1.537 eV/atom

=====

(2)
Density functional theory data (GGA-PBEsol) for YCdNi2 after structural relaxation.

Structure (CIF):
```
data_YCdNi2
_chemical_formula_sum 'Y2 Cd2 Ni4'
_symmetry_space_group_name_H-M 'I -4 m 2'
_symmetry_Int_Tables_number 119
_symmetry_space_group_name_Hall 'I -4 -2'
_cell_length_a 3.829
_cell_length_b 3.829
_cell_length_c 8.861
_cell_angle_alpha 90.00
_cell_angle_beta 90.00
_cell_angle_gamma 90.00
loop_
_atom_site_label
_atom_site_fract_x
_atom_site_fract_y
_atom_site_fract_z
_atom_site_occupancy
Y1 0.000 0.000 0.000 1
Cd1 0.000 0.500 0.250 1
Ni1 0.000 0.000 0.500 1
Ni2 0.000 0.500 0.750 1
```

E_tot   -0.1927 hartree per atom
Calculated formation energy   -0.160 eV/atom

=====

(3)
Density functional theory data (GGA-PBEsol) for Y2CdNi2 after structural relaxation.

Structure (CIF):
```
data_Y2CdNi2
_chemical_formula_sum 'Y4 Cd2 Ni4'
_symmetry_space_group_name_H-M 'I 4/m m m'
_symmetry_Int_Tables_number 139
_symmetry_space_group_name_Hall '-I 4 2'
_cell_length_a 5.179
_cell_length_b 5.179
_cell_length_c 7.565
_cell_angle_alpha 90.00
_cell_angle_beta 90.00
_cell_angle_gamma 90.00
loop_
_atom_site_label
_atom_site_fract_x
_atom_site_fract_y
_atom_site_fract_z
_atom_site_occupancy
Y1 0.000 0.500 0.250 1
Cd1 0.000 0.000 0.000 1
Ni1 0.000 0.000 0.352 1
```

E_tot   -0.2083 hartree per atom
Calculated formation energy   -0.238 eV/atom

=====

(4)
Density functional theory data (GGA-PBEsol) for Zn2CdNi after structural relaxation.

Structure (CIF):
```
data_Zn2CdNi
_chemical_formula_sum 'Zn2 Cd1 Ni1'
_symmetry_space_group_name_H-M 'P 4/m m m'
_symmetry_Int_Tables_number 123
_symmetry_space_group_name_Hall '-P 4 2'
_cell_length_a 2.943
_cell_length_b 2.943
_cell_length_c 6.616
_cell_angle_alpha 90.00
_cell_angle_beta 90.00
_cell_angle_gamma 90.00
loop_
_atom_site_label
_atom_site_fract_x
_atom_site_fract_y
_atom_site_fract_z
_atom_site_occupancy
Zn1 0.000 0.000 0.202 1
Cd1 0.500 0.500 0.500 1
Ni1 0.500 0.500 0.000 1
```

E_tot   -0.0998 hartree per atom
Calculated formation energy   -0.087 eV/atom

=====

(5)
Density functional theory data (GGA-PBEsol) for Zn2CdNi after structural relaxation.

Structure (CIF):
```
data_Zn2CdNi
_chemical_formula_sum 'Zn2 Cd1 Ni1'
_symmetry_space_group_name_H-M 'P 1 2/m 1'
_symmetry_Int_Tables_number 10
_cell_length_a 2.722
_cell_length_b 4.223
_cell_length_c 5.055
_cell_angle_alpha 90.00
_cell_angle_beta 99.78
_cell_angle_gamma 90.00
loop_
_symmetry_equiv_pos_as_xyz
'x,y,z'
'-x,-y,-z'
'-x,y,-z'
'x,-y,z'
loop_
_atom_site_label
_atom_site_fract_x
_atom_site_fract_y
_atom_site_fract_z
_atom_site_occupancy
Zn1 0.197 0.000 0.281 1
Cd1 0.500 0.500 0.000 1
Ni1 0.000 0.500 0.500 1
```

E_tot   -0.0967 hartree per atom
Calculated formation energy   0.000 eV/atom

=====

(6)
Density functional theory data (GGA-PBEsol) for Zn2CdNi after structural relaxation.

Structure (CIF):
```
data_Zn2CdNi
_chemical_formula_sum 'Zn4 Cd2 Ni2'
_symmetry_space_group_name_H-M 'C m m m'
_symmetry_Int_Tables_number 65
_symmetry_space_group_name_Hall '-C 2 2'
_cell_length_a 5.511
_cell_length_b 7.041
_cell_length_c 2.932
_cell_angle_alpha 90.00
_cell_angle_beta 90.00
_cell_angle_gamma 90.00
loop_
_atom_site_label
_atom_site_fract_x
_atom_site_fract_y
_atom_site_fract_z
_atom_site_occupancy
Zn1 0.250 0.250 0.000 1
Cd1 0.000 0.000 0.500 1
Ni1 0.000 0.500 0.500 1
```

E_tot   -0.0956 hartree per atom
Calculated formation energy   0.029 eV/atom

=====

(7)
Density functional theory data (GGA-PBEsol) for ZnCdNi6 after structural relaxation.

Structure (CIF):
```
data_ZnCdNi6
_chemical_formula_sum 'Zn8 Cd8 Ni48'
_symmetry_space_group_name_H-M 'C m m m'
_symmetry_Int_Tables_number 65
_symmetry_space_group_name_Hall '-C 2 2'
_cell_length_a 7.162
_cell_length_b 10.190
_cell_length_c 10.202
_cell_angle_alpha 90.00
_cell_angle_beta 90.00
_cell_angle_gamma 90.00
loop_
_atom_site_label
_atom_site_fract_x
_atom_site_fract_y
_atom_site_fract_z
_atom_site_occupancy
Zn1 0.000 0.000 0.246 1
Zn2 0.000 0.255 0.000 1
Cd1 0.000 0.255 0.500 1
Cd2 0.000 0.500 0.247 1
Ni1 0.000 0.000 0.000 1
Ni2 0.000 0.000 0.500 1
Ni3 0.000 0.246 0.242 1
Ni4 0.000 0.500 0.000 1
Ni5 0.000 0.500 0.500 1
Ni6 0.241 0.123 0.370 1
Ni7 0.243 0.127 0.120 1
```

E_tot   -0.1818 hartree per atom
Calculated formation energy   0.019 eV/atom

=====

(8)
Density functional theory data (GGA-PBEsol) for Zn2CdNi2 after structural relaxation.

Structure (CIF):
```
data_Zn2CdNi2
_chemical_formula_sum 'Zn4 Cd2 Ni4'
_symmetry_space_group_name_H-M 'P 4/m b m'
_symmetry_Int_Tables_number 127
_symmetry_space_group_name_Hall '-P 4 2ab'
_cell_length_a 6.993
_cell_length_b 6.993
_cell_length_c 2.711
_cell_angle_alpha 90.00
_cell_angle_beta 90.00
_cell_angle_gamma 90.00
loop_
_atom_site_label
_atom_site_fract_x
_atom_site_fract_y
_atom_site_fract_z
_atom_site_occupancy
Zn1 0.129 0.371 0.000 1
Cd1 0.000 0.000 0.000 1
Ni1 0.167 0.667 0.500 1
```

E_tot   -0.1268 hartree per atom
Calculated formation energy   -0.114 eV/atom

=====

What did the third record say?
Density functional theory data (GGA-PBEsol) for Y2CdNi2 after structural relaxation.

Structure (CIF):
```
data_Y2CdNi2
_chemical_formula_sum 'Y4 Cd2 Ni4'
_symmetry_space_group_name_H-M 'I 4/m m m'
_symmetry_Int_Tables_number 139
_symmetry_space_group_name_Hall '-I 4 2'
_cell_length_a 5.179
_cell_length_b 5.179
_cell_length_c 7.565
_cell_angle_alpha 90.00
_cell_angle_beta 90.00
_cell_angle_gamma 90.00
loop_
_atom_site_label
_atom_site_fract_x
_atom_site_fract_y
_atom_site_fract_z
_atom_site_occupancy
Y1 0.000 0.500 0.250 1
Cd1 0.000 0.000 0.000 1
Ni1 0.000 0.000 0.352 1
```

E_tot   -0.2083 hartree per atom
Calculated formation energy   -0.238 eV/atom

=====

- What is the formula in the first record?
  CdNiW